1.
SrMn2NiOs | PBE | optimized geometry

Its theoretical density is 6.866 g cm⁻³. The value obtained for the total energy is -0.24798 Ha/atom. The magnetic moment comes out at 6.59 μB per cell.

The space group is P4/mmm (No. 123) and the conventional cell measures 4.748, 4.748 and 4.790 Å, with angles of 90.00, 90.00 and 90.00 degrees. The inequivalent atoms are Sr at (0.000, 0.000, 0.000), Mn at (0.000, 0.500, 0.500), Ni at (0.500, 0.500, 0.000) and Os at (0.500, 0.500, 0.500).


2.
NaPrGe2Pd5 | PBE | optimized geometry

Its theoretical density is 8.281 g cm⁻³. The value obtained for the total energy is -0.19033 Ha/atom. The magnetic moment comes out at 0.00 μB per cell.

The space group is P4/mmm (No. 123) and the conventional cell measures 4.237, 4.237 and 9.399 Å, with angles of 90.00, 90.00 and 90.00 degrees. The inequivalent atoms are Na at (0.000, 0.000, 0.000), Pr at (0.000, 0.000, 0.500), Ge at (0.500, 0.500, 0.135), Pd at (0.000, 0.500, 0.271) and Pd at (0.500, 0.500, 0.500).


3.
TaAlIn2 | PBE | optimized geometry

Its theoretical density is 8.686 g cm⁻³. The value obtained for the total energy is -0.18887 Ha/atom. The magnetic moment comes out at 0.00 μB per cell.

The space group is P4mm (No. 99) and the conventional cell measures 2.980, 2.980 and 9.422 Å, with angles of 90.00, 90.00 and 90.00 degrees. The inequivalent atoms are Ta at (0.000, 0.000, 0.000), Al at (0.500, 0.500, 0.203), In at (0.000, 0.000, 0.464) and In at (0.500, 0.500, 0.759).


4.
HoErPuSn | PBE | optimized geometry

Its theoretical density is 10.537 g cm⁻³. The value obtained for the total energy is -0.25682 Ha/atom. The magnetic moment comes out at 27.33 μB per cell.

The space group is F-43m (No. 216) and the conventional cell measures 7.594, 7.594 and 7.594 Å, with angles of 90.00, 90.00 and 90.00 degrees. The inequivalent atoms are Ho at (0.000, 0.000, 0.000), Er at (0.250, 0.250, 0.250), Pu at (0.250, 0.250, 0.750) and Sn at (0.000, 0.000, 0.500).